[1]
Below is LaW2Br after structural relaxation, with properties calculated at the PBE level.

Cell lengths 5.906, 5.906, 2.984 Å; angles 90.00, 90.00, 124.34 degrees
Element x y z (fractional)
La: 0.000 0.000 0.000
W: 0.000 0.500 0.500
W: 0.500 0.000 0.500
Br: 0.500 0.500 0.000

Values from the calculation:
* energy relative to the lowest polymorph listed for this composition: 0.969 eV/atom
* SG: Cmmm, No. 65


[2]
Below is LaW2Br after structural relaxation, with properties calculated at the PBE level.

Cell lengths 3.270, 4.580, 5.737 Å; angles 90.00, 90.00, 90.00 degrees
Element x y z (fractional)
La: 0.000 0.000 0.000
W: 0.000 0.500 0.500
W: 0.500 0.000 0.500
Br: 0.500 0.500 0.000

Values from the calculation:
* energy relative to the lowest polymorph listed for this composition: 0.545 eV/atom
* SG: Pmmm, No. 47